An optimized crystal structure of Cd3FeF, computed with PBE with a Hubbard U.

Output
Final energy = -9.53 eV/f.u.
E above lowest polymorph = 49 meV per atom
D(E_F) = 0.881 states/eV/atom

a = 4.717 Å, b = 4.717 Å, c = 4.717 Å
α = 90.00°, β = 90.00°, γ = 90.00°
Last column: magnetic moment on the atom in μB.
Positions (direct):
F 0.000 0.000 0.000  -0.05
Fe 0.500 0.500 0.500  3.54
Cd 0.000 0.500 0.000  -0.07
Cd 0.000 0.000 0.500  -0.04
Cd 0.500 0.000 0.000  -0.05